Material: Mn2MoRu
Method: DFT, meta-GGA SCAN
State: PBEsol geometry

Geometry as POSCAR:
```
Mn2MoRu
1.0
2.632 0.191 0.310
-0.362 4.413 0.357
-0.362 -1.658 4.105
Mo Ru Mn
1 1 2
Cartesian
0.954 1.473 2.386
1.316 0.096 0.155
-0.181 -0.829 2.053
-0.181 2.206 0.178
```

Output
The formation energy is 11 kJ/mol of atoms. The calculation puts the magnetization at 4.29 μB/f.u. The space group is Cmmm (65).

Material: Pt2Pb
Method: DFT, meta-GGA SCAN
State: PBEsol geometry

Geometry as POSCAR:
```
Pt2Pb
1.0
-2.190 -0.128 3.496
3.553 -3.500 2.098
3.808 3.921 0.092
Pt Pb
4 2
Cartesian
5.560 -0.301 3.472
2.741 -2.458 1.628
1.100 -0.873 3.093
2.381 2.798 4.030
3.308 0.716 2.099
3.399 -1.937 4.495
```

Output
The formation energy is -7 kJ/mol of atoms. The calculation puts the magnetization at 0.00 μB/f.u. The space group is Cmc2_1 (36).

Material: La2MgCoAu
Method: DFT, meta-GGA SCAN
State: PBEsol geometry

Geometry as POSCAR:
```
La2MgCoAu
1.0
-4.994 0.451 0.274
-0.162 -3.797 3.293
0.503 3.265 3.790
Au Co Mg La
1 1 1 2
Cartesian
-2.497 0.226 0.137
0.000 0.000 0.000
-2.327 -0.040 3.679
-0.081 -1.898 1.646
0.252 1.633 1.895
```

Output
The formation energy is -19 kJ/mol of atoms. The calculation puts the magnetization at 0.00 μB/f.u. The space group is P4/mmm (123).

Material: BaGaH5
Method: DFT, meta-GGA SCAN
State: PBEsol geometry

Geometry as POSCAR:
```
BaGaH5
1.0
4.535 0.000 0.000
0.000 4.775 -0.051
0.000 -0.109 8.180
H Ga Ba
10 2 2
Cartesian
1.123 3.429 3.977
3.136 3.793 8.017
0.869 0.873 0.111
3.065 1.258 6.853
1.062 2.808 6.626
3.390 1.238 4.152
3.289 4.286 2.443
0.798 3.408 1.276
3.329 1.859 1.503
1.021 0.381 5.686
3.732 3.368 1.182
1.465 1.299 6.947
3.405 3.637 5.363
1.138 1.030 2.766
```

Output
The calculation puts the magnetization at 0.00 μB/f.u. The space group is P2_1 (4). The calculation puts the final energy at -10.7716 eV/atom.

Material: Nd2MnNiO6
Method: DFT, meta-GGA SCAN
State: PBEsol geometry

Geometry as POSCAR:
```
Nd2MnNiO6
1.0
-3.975 3.261 1.505
-3.639 -3.852 -1.265
0.439 -2.737 7.074
O Nd Mn Ni
12 4 2 2
Cartesian
-5.774 -2.590 1.347
-3.736 -2.462 -0.391
-3.717 0.274 4.752
-1.401 -0.738 5.967
-1.845 -3.765 4.730
-2.184 -0.237 0.381
-3.458 -3.602 2.562
-1.993 -1.470 3.304
-5.330 0.437 2.584
-3.439 -0.867 7.705
-5.182 -1.859 4.010
-4.991 -3.091 6.933
-3.832 -1.204 1.814
-7.065 -2.492 5.594
-0.110 -0.836 1.719
-3.343 -2.124 5.500
-1.988 1.630 0.752
-1.600 -3.295 2.904
-1.768 0.262 4.289
-1.819 -1.926 -0.632
```

Output
The calculation puts the magnetization at 5.00 μB/f.u. The space group is P2_1/c (14). The formation energy from raw total energies comes out at -2.8944 eV/atom.

Material: NaLi2ScHg
Method: DFT, meta-GGA SCAN
State: PBEsol geometry

Geometry as POSCAR:
```
NaLi2ScHg
1.0
4.537 0.000 0.000
0.000 4.537 0.000
0.000 0.000 5.663
Li Na Hg Sc
2 1 1 1
Cartesian
0.000 2.269 0.000
2.269 0.000 0.000
0.000 0.000 0.000
2.269 2.269 2.831
0.000 0.000 2.831
```

Output
The formation energy is 52 kJ/mol of atoms. The calculation puts the magnetization at 0.00 μB/f.u. The space group is P4/mmm (123).